Record 1
A plane-wave DFT calculation with PBE-GGA was carried out for a relaxed La2YHf2 crystal.

a b c (Å): 9.266 9.266 3.481
angles (deg): 90.00 90.00 90.00
Each line ends with the local moment (μB).
Atoms (fractional coordinates):
Y  0.000  0.000  0.000  0.14
Y  0.500  0.500  0.000  0.14
Hf  0.384  0.884  0.000  0.02
Hf  0.884  0.616  0.000  0.01
Hf  0.616  0.116  0.000  0.02
Hf  0.116  0.384  0.000  0.01
La  0.181  0.681  0.500  0.02
La  0.681  0.819  0.500  0.01
La  0.819  0.319  0.500  0.02
La  0.319  0.181  0.500  0.01

As for the size of the total moment: 0.07 μB per atom. Its calculated formation energy is 0.283 eV per atom. The value obtained for the polymorph energy (0 for the lowest one) is 0.000 eV/atom.

Record 2
A plane-wave DFT calculation with PBE-GGA was carried out for a relaxed LaYHf2 crystal.

a b c (Å): 5.343 5.343 5.343
angles (deg): 60.00 60.00 60.00
Atoms (fractional coordinates):
Y  0.000  0.000  0.000
Hf  0.250  0.250  0.250
Hf  0.750  0.750  0.750
La  0.500  0.500  0.500

As for the size of the total moment: 0.00 μB per atom. Its calculated formation energy is 0.382 eV per atom. The value obtained for the polymorph energy (0 for the lowest one) is 0.000 eV/atom.

Record 3
A plane-wave DFT calculation with PBE-GGA was carried out for a relaxed LaY2Hf crystal.

a b c (Å): 3.380 3.380 12.355
angles (deg): 82.14 82.14 60.00
Atoms (fractional coordinates):
Y  0.085  0.085  0.745
Y  0.915  0.915  0.255
Hf  0.000  0.000  0.000
La  0.500  0.500  0.500

As for the size of the total moment: 0.00 μB per atom. Its calculated formation energy is 0.407 eV per atom. The value obtained for the polymorph energy (0 for the lowest one) is 0.272 eV/atom.